1.
DFT (PBE-GGA) results for a geometry-optimized CeGa2Si2Pt7 structure.

Uncorrected formation energy   -8.0 eV per formula unit
Crystal system   monoclinic

Cell and atoms, written as CIF:
```
data_CeGa2Si2Pt7
_chemical_formula_sum 'Ce1 Ga2 Si2 Pt7'
_cell_length_a 4.068
_cell_length_b 3.987
_cell_length_c 13.817
_cell_angle_alpha 85.63
_cell_angle_beta 81.52
_cell_angle_gamma 90.05
_symmetry_space_group_name_H-M 'P 1'
_symmetry_Int_Tables_number 1
_symmetry_space_group_name_Hall 'P 1'
loop_
_atom_site_label
_atom_site_type_symbol
_atom_site_fract_x
_atom_site_fract_y
_atom_site_fract_z
Pt1 Pt 0.918 0.454 0.165
Pt2 Pt 0.418 0.956 0.164
Pt3 Pt 0.500 0.500 0.000
Pt4 Pt 0.582 0.044 0.836
Pt5 Pt 0.716 0.580 0.566
Pt6 Pt 0.284 0.420 0.434
Pt7 Pt 0.082 0.546 0.835
Si1 Si 0.369 0.432 0.263
Si2 Si 0.631 0.568 0.737
Ga1 Ga 0.210 0.953 0.580
Ga2 Ga 0.790 0.047 0.420
Ce1 Ce 0.000 0.000 0.000
```

---

2.
DFT (PBE-GGA) results for a geometry-optimized Ce2GaSi4Pt3 structure.

Uncorrected formation energy   -9.8 eV per formula unit
Crystal system   tetragonal

Cell and atoms, written as CIF:
```
data_Ce2GaSi4Pt3
_chemical_formula_sum 'Ce2 Ga1 Si4 Pt3'
_cell_length_a 4.259
_cell_length_b 4.259
_cell_length_c 9.903
_cell_angle_alpha 90.00
_cell_angle_beta 90.00
_cell_angle_gamma 90.00
_symmetry_space_group_name_H-M 'P 1'
_symmetry_Int_Tables_number 1
_symmetry_space_group_name_Hall 'P 1'
loop_
_atom_site_label
_atom_site_type_symbol
_atom_site_fract_x
_atom_site_fract_y
_atom_site_fract_z
Si1 Si 0.500 0.000 0.639
Si2 Si 0.500 0.500 0.000
Si3 Si 0.000 0.500 0.361
Si4 Si 0.000 0.000 0.000
Pt1 Pt 0.000 0.500 0.120
Pt2 Pt 0.000 0.000 0.500
Pt3 Pt 0.500 0.000 0.880
Ce1 Ce 0.500 0.000 0.247
Ce2 Ce 0.000 0.500 0.753
Ga1 Ga 0.500 0.500 0.500
```

---

3.
DFT (PBE-GGA) results for a geometry-optimized Ce3GaSi2Pt9 structure.

Uncorrected formation energy   -10.5 eV per formula unit
Crystal system   trigonal

Cell and atoms, written as CIF:
```
data_Ce3GaSi2Pt9
_chemical_formula_sum 'Ce3 Ga1 Si2 Pt9'
_cell_length_a 6.740
_cell_length_b 6.740
_cell_length_c 7.938
_cell_angle_alpha 90.00
_cell_angle_beta 90.00
_cell_angle_gamma 120.00
_symmetry_space_group_name_H-M 'P 1'
_symmetry_Int_Tables_number 1
_symmetry_space_group_name_Hall 'P 1'
loop_
_atom_site_label
_atom_site_type_symbol
_atom_site_fract_x
_atom_site_fract_y
_atom_site_fract_z
Pt1 Pt 0.500 0.000 0.000
Pt2 Pt 0.000 0.500 0.000
Pt3 Pt 0.804 0.196 0.607
Pt4 Pt 0.196 0.804 0.393
Pt5 Pt 0.804 0.607 0.607
Pt6 Pt 0.393 0.196 0.607
Pt7 Pt 0.196 0.393 0.393
Pt8 Pt 0.500 0.500 0.000
Pt9 Pt 0.607 0.804 0.393
Si1 Si 0.333 0.667 0.170
Si2 Si 0.667 0.333 0.830
Ce1 Ce 0.333 0.667 0.707
Ce2 Ce 0.667 0.333 0.293
Ce3 Ce 0.000 0.000 0.000
Ga1 Ga 0.000 0.000 0.500
```

---

4.
DFT (PBE-GGA) results for a geometry-optimized CeGa2SiPt4 structure.

Uncorrected formation energy   -6.3 eV per formula unit
Crystal system   trigonal

Cell and atoms, written as CIF:
```
data_CeGa2SiPt4
_chemical_formula_sum 'Ce1 Ga2 Si1 Pt4'
_cell_length_a 4.327
_cell_length_b 4.327
_cell_length_c 8.998
_cell_angle_alpha 76.09
_cell_angle_beta 76.09
_cell_angle_gamma 60.00
_symmetry_space_group_name_H-M 'P 1'
_symmetry_Int_Tables_number 1
_symmetry_space_group_name_Hall 'P 1'
loop_
_atom_site_label
_atom_site_type_symbol
_atom_site_fract_x
_atom_site_fract_y
_atom_site_fract_z
Pt1 Pt 0.861 0.861 0.416
Pt2 Pt 0.139 0.139 0.584
Pt3 Pt 0.594 0.594 0.219
Pt4 Pt 0.406 0.406 0.781
Ga1 Ga 0.253 0.253 0.242
Ga2 Ga 0.747 0.747 0.758
Ce1 Ce 0.000 0.000 0.000
Si1 Si 0.500 0.500 0.500
```

---

5.
DFT (PBE-GGA) results for a geometry-optimized Ce2SmGa2Pt2 structure.

Energy of formation from the pure elements   -84.8 kJ/mol of atoms
Crystal system   trigonal

Cell and atoms, written as CIF:
```
data_Ce2SmGa2Pt2
_chemical_formula_sum 'Ce2 Sm1 Ga2 Pt2'
_cell_length_a 4.429
_cell_length_b 4.429
_cell_length_c 9.246
_cell_angle_alpha 76.14
_cell_angle_beta 76.14
_cell_angle_gamma 60.00
_symmetry_space_group_name_H-M 'P 1'
_symmetry_Int_Tables_number 1
_symmetry_space_group_name_Hall 'P 1'
loop_
_atom_site_label
_atom_site_type_symbol
_atom_site_fract_x
_atom_site_fract_y
_atom_site_fract_z
Pt1 Pt 0.258 0.258 0.227
Pt2 Pt 0.742 0.742 0.773
Ce1 Ce 0.138 0.138 0.585
Ce2 Ce 0.862 0.862 0.415
Sm1 Sm 0.000 0.000 0.000
Ga1 Ga 0.403 0.403 0.791
Ga2 Ga 0.597 0.597 0.209
```

---

6.
DFT (PBE-GGA) results for a geometry-optimized Ce2GaSnPt6 structure.

Energy of formation from the pure elements   -73.3 kJ/mol of atoms
Crystal system   monoclinic

Cell and atoms, written as CIF:
```
data_Ce2GaSnPt6
_chemical_formula_sum 'Ce2 Ga1 Sn1 Pt6'
_cell_length_a 6.683
_cell_length_b 6.547
_cell_length_c 5.517
_cell_angle_alpha 65.11
_cell_angle_beta 65.64
_cell_angle_gamma 72.01
_symmetry_space_group_name_H-M 'P 1'
_symmetry_Int_Tables_number 1
_symmetry_space_group_name_Hall 'P 1'
loop_
_atom_site_label
_atom_site_type_symbol
_atom_site_fract_x
_atom_site_fract_y
_atom_site_fract_z
Ga1 Ga 0.000 0.000 0.000
Pt1 Pt 0.302 0.181 0.510
Pt2 Pt 0.698 0.819 0.490
Pt3 Pt 0.938 0.427 0.817
Pt4 Pt 0.301 0.182 0.007
Pt5 Pt 0.699 0.818 0.993
Pt6 Pt 0.062 0.573 0.183
Ce1 Ce 0.249 0.756 0.497
Ce2 Ce 0.751 0.244 0.503
Sn1 Sn 0.500 0.500 0.000
```

---

7.
DFT (PBE-GGA) results for a geometry-optimized SrCeGa2Pt2 structure.

Energy of formation from the pure elements   -88.3 kJ/mol of atoms
Crystal system   trigonal

Cell and atoms, written as CIF:
```
data_SrCeGa2Pt2
_chemical_formula_sum 'Sr1 Ce1 Ga2 Pt2'
_cell_length_a 4.487
_cell_length_b 4.487
_cell_length_c 7.839
_cell_angle_alpha 90.00
_cell_angle_beta 90.00
_cell_angle_gamma 120.00
_symmetry_space_group_name_H-M 'P 1'
_symmetry_Int_Tables_number 1
_symmetry_space_group_name_Hall 'P 1'
loop_
_atom_site_label
_atom_site_type_symbol
_atom_site_fract_x
_atom_site_fract_y
_atom_site_fract_z
Pt1 Pt 0.333 0.667 0.710
Pt2 Pt 0.667 0.333 0.290
Sr1 Sr 0.000 0.000 0.000
Ce1 Ce 0.000 0.000 0.500
Ga1 Ga 0.333 0.667 0.274
Ga2 Ga 0.667 0.333 0.726
```

---

8.
DFT (PBE-GGA) results for a geometry-optimized Sr2CeGa3Pt4 structure.

Energy of formation from the pure elements   -82.6 kJ/mol of atoms
Crystal system   tetragonal

Cell and atoms, written as CIF:
```
data_Sr2CeGa3Pt4
_chemical_formula_sum 'Sr2 Ce1 Ga3 Pt4'
_cell_length_a 4.483
_cell_length_b 4.483
_cell_length_c 11.012
_cell_angle_alpha 90.00
_cell_angle_beta 90.00
_cell_angle_gamma 90.00
_symmetry_space_group_name_H-M 'P 1'
_symmetry_Int_Tables_number 1
_symmetry_space_group_name_Hall 'P 1'
loop_
_atom_site_label
_atom_site_type_symbol
_atom_site_fract_x
_atom_site_fract_y
_atom_site_fract_z
Ga1 Ga 0.000 0.000 0.500
Ga2 Ga 0.000 0.500 0.115
Ga3 Ga 0.500 0.000 0.885
Pt1 Pt 0.500 0.000 0.653
Pt2 Pt 0.500 0.500 0.000
Pt3 Pt 0.000 0.500 0.347
Pt4 Pt 0.000 0.000 0.000
Sr1 Sr 0.500 0.000 0.224
Sr2 Sr 0.000 0.500 0.776
Ce1 Ce 0.500 0.500 0.500
```

---

| no. | magnetic moment (Bohr magnetons per cell) | uncorrected energy (eV/atom) | N(E_F) (states/eV per cell) |
| --- | --- | --- | --- |
| 1 | 0.281 | -6.0961 | 5.4 |
| 2 | 0.611 | -6.4464 | 10.1 |
| 3 | 2.529 | -6.4383 | 24.2 |
| 4 | 0.661 | -5.9782 | 7.3 |
| 5 | 0.003 | -5.8394 | 6.3 |
| 6 | 0.936 | -6.2737 | 12.1 |
| 7 | 0.574 | -5.2069 | 6.7 |
| 8 | 0.376 | -5.1101 | 9.1 |